# 1
The following is a DFT calculation (PBE) of a relaxed RbFe2NiBr8 crystal.

Cell lengths 6.615, 6.615, 9.916 Å; angles 96.25, 96.25, 68.77 degrees
Sites, in units of the cell vectors:
Rb  0.000  0.000  0.000
Fe  0.384  0.384  0.703
Fe  0.616  0.616  0.297
Ni  0.000  0.000  0.500
Br  0.227  0.740  0.308
Br  0.234  0.234  0.507
Br  0.260  0.773  0.692
Br  0.313  0.313  0.918
Br  0.687  0.687  0.082
Br  0.740  0.227  0.308
Br  0.766  0.766  0.493
Br  0.773  0.260  0.692

Summary:
**Total moment**: 11.0 μB/cell
**E_form (uncorrected)**: -7.5 eV per formula unit
**Space-group type**: C2/m, No. 12
**DOS(E_F)**: 6.0 states/eV/cell

***

# 2
The following is a DFT calculation (PBE) of a relaxed ZrAlSi crystal.

Cell lengths 5.114, 7.241, 5.534 Å; angles 90.00, 90.00, 90.00 degrees
Sites, in units of the cell vectors:
Zr  0.141  0.102  0.250
Zr  0.141  0.398  0.750
Zr  0.859  0.602  0.250
Zr  0.859  0.898  0.750
Al  0.328  0.750  0.000
Al  0.328  0.750  0.500
Al  0.672  0.250  0.000
Al  0.672  0.250  0.500
Si  0.343  0.049  0.750
Si  0.343  0.451  0.250
Si  0.657  0.549  0.750
Si  0.657  0.951  0.250

Summary:
**Total moment**: 0.0 μB/cell
**E_form (uncorrected)**: -1.7 eV per formula unit
**Space-group type**: Pbcm, No. 57
**DOS(E_F)**: 4.3 states/eV/cell

***

# 3
The following is a DFT calculation (PBE) of a relaxed NaY2Cu crystal.

Cell lengths 5.205, 5.205, 5.205 Å; angles 60.00, 60.00, 60.00 degrees
Sites, in units of the cell vectors:
Na  0.000  0.000  0.000
Y  0.250  0.250  0.250
Y  0.750  0.750  0.750
Cu  0.500  0.500  0.500

Summary:
**Total moment**: 0.0 μB/cell
**Energy above the most stable polymorph in this dataset**: 166 meV per atom
**Space-group type**: Fm-3m, No. 225
**DOS(E_F)**: 2.2 states/eV/cell
**Energy relative to the elements**: 0.181 eV/atom

***

# 4
The following is a DFT calculation (PBE) of a relaxed TiSbHRh2 crystal.

Cell lengths 4.021, 4.021, 4.120 Å; angles 90.00, 90.00, 90.00 degrees
Sites, in units of the cell vectors:
Ti  0.000  0.000  0.000
Sb  0.500  0.500  0.000
H  0.000  0.000  0.500
Rh  0.000  0.500  0.500
Rh  0.500  0.000  0.500

Summary:
**Total moment**: 0.0 μB/cell
**Final energy**: -32.240 eV per cell
**Space-group type**: P4/mmm, No. 123
**DOS(E_F)**: 4.5 states/eV/cell

***

# 5
The following is a DFT calculation (PBE) of a relaxed InBiPb6 crystal.

Cell lengths 5.711, 5.711, 9.526 Å; angles 98.39, 98.39, 113.73 degrees
Sites, in units of the cell vectors:
In  0.000  0.000  0.000
Bi  0.500  0.500  0.500
Pb  0.147  0.790  0.677
Pb  0.210  0.853  0.323
Pb  0.464  0.464  0.828
Pb  0.536  0.536  0.172
Pb  0.790  0.147  0.677
Pb  0.853  0.210  0.323

Summary:
**Total moment**: 0.0 μB/cell
**Energy above the most stable polymorph in this dataset**: 85 meV per atom
**Space-group type**: C2/m, No. 12
**DOS(E_F)**: 4.6 states/eV/cell
**Energy relative to the elements**: 0.116 eV/atom

***

# 6
The following is a DFT calculation (PBE) of a relaxed InGaCuAgTe4 crystal.

Cell lengths 7.693, 7.693, 7.693 Å; angles 131.25, 131.25, 71.41 degrees
Sites, in units of the cell vectors:
In  0.000  0.000  0.000
Ga  0.250  0.750  0.500
Cu  0.500  0.500  0.000
Ag  0.750  0.250  0.500
Te  0.151  0.135  0.535
Te  0.384  0.849  0.984
Te  0.600  0.616  0.465
Te  0.865  0.400  0.016

Summary:
**Total moment**: 0.0 μB/cell
**E_form (uncorrected)**: -2.2 eV per formula unit
**Space-group type**: I-4, No. 82
**DOS(E_F)**: 0.4 states/eV/cell